No. 1
Compound: CrIn
Source: Alexandria
Functional: meta-GGA SCAN
Structure: single point on PBEsol structure

## Properties
The calculation puts the total energy at -1.8672 Ry per atom. For the calculated formation energy, the calculation gives 482 meV/atom.

Cell and atoms, written as extended XYZ:
```
4
Lattice="2.9915 0.0000 0.0000 -1.4957 2.5907 0.0000 0.0000 0.0000 8.7895" Properties=species:S:1:pos:R:3 pbc="T T T"
Cr 0.0000 1.7271 0.7182
Cr 1.4957 0.8636 8.0713
In 0.0000 1.7271 5.7812
In 1.4957 0.8636 3.0083
```

=====

No. 2
Compound: YSeBr
Source: Alexandria
Functional: meta-GGA SCAN
Structure: single point on PBEsol structure

## Properties
The calculation puts the total energy at -1.7302 Ry per atom. The calculation puts the raw formation energy at -1.08 eV per atom.

Cell and atoms, written as extended XYZ:
```
3
Lattice="0.0000 3.3810 3.3810 3.3810 0.0000 3.3810 3.3810 3.3810 0.0000" Properties=species:S:1:pos:R:3 pbc="T T T"
Y 0.0000 0.0000 0.0000
Se 3.3810 3.3810 3.3810
Br 1.6905 1.6905 1.6905
```

=====

No. 3
Compound: RbLaN2O
Source: Alexandria
Functional: meta-GGA SCAN
Structure: single point on PBEsol structure

## Properties
The calculation puts the total energy at -1.3262 Ry per atom. The calculation puts the raw formation energy at -0.31 eV per atom.

Cell and atoms, written as extended XYZ:
```
5
Lattice="4.9328 0.0000 0.0000 0.0000 4.9328 0.0000 0.0000 0.0000 4.5008" Properties=species:S:1:pos:R:3 pbc="T T T"
Rb 0.0000 0.0000 0.0000
La 2.4664 2.4664 2.2504
N 0.0000 2.4664 2.2504
N 2.4664 0.0000 2.2504
O 2.4664 2.4664 0.0000
```

=====

No. 4
Compound: SrBi2B4O10
Source: Alexandria
Functional: meta-GGA SCAN
Structure: single point on PBEsol structure

## Properties
The calculation puts the total energy at -1.3475 Ry per atom. The calculation puts the raw formation energy at -2.37 eV per atom.

Cell and atoms, written as extended XYZ:
```
34
Lattice="6.7605 0.0000 0.0000 -1.4670 6.6568 0.0000 -3.1927 -1.7355 9.1212" Properties=species:S:1:pos:R:3 pbc="T T T"
Sr -0.8010 2.0235 1.5414
Sr 2.9019 2.8979 7.5798
Bi -0.4997 5.1809 3.0509
Bi -0.5718 2.1040 5.4477
Bi 2.6727 2.8173 3.6735
Bi 2.6006 -0.2596 6.0703
B -2.2942 4.8850 5.7549
B -1.5878 -0.0565 7.5312
B 1.4022 4.5732 0.6537
B 2.1191 1.4665 0.8767
B -0.0182 3.4548 8.2446
B 0.6987 0.3482 8.4675
B 3.6887 4.9779 1.5900
B 4.3950 0.0363 3.3663
O -2.4537 0.8672 6.8226
O -2.4156 3.5337 5.4685
O -3.0891 5.2807 6.8466
O 0.0977 4.3319 0.8611
O -1.9776 -0.2826 8.9571
O -0.0186 -0.9165 5.0558
O 0.2380 3.3053 3.7504
O -1.3821 3.2730 8.5084
O -0.2296 0.5070 7.4780
O 1.6885 1.3559 2.1613
O 0.4123 3.5655 6.9599
O 2.3305 4.4144 1.6432
O 3.4830 1.6483 0.6128
O 1.8629 1.6161 5.3708
O 2.1195 5.8379 4.0654
O 4.0785 5.2040 0.1642
O 2.0032 0.5895 8.2601
O 5.1900 -0.3594 2.2746
O 4.5165 1.3876 3.6527
O 4.5546 4.0542 2.2987
```

=====

No. 5
Compound: RbSi3O
Source: Alexandria
Functional: meta-GGA SCAN
Structure: single point on PBEsol structure

## Properties
The calculation puts the total energy at -0.6236 Ry per atom. The calculation puts the raw formation energy at 2.92 eV per atom. The relative energy among the computed polymorphs comes out at 2224 meV per atom.

Cell and atoms, written as extended XYZ:
```
5
Lattice="5.5031 0.0000 0.0000 0.0000 5.5031 0.0000 0.0000 0.0000 5.5031" Properties=species:S:1:pos:R:3 pbc="T T T"
Rb 0.0000 0.0000 0.0000
Si 0.0000 0.0000 2.7515
Si 0.0000 2.7515 0.0000
Si 2.7515 0.0000 0.0000
O 2.7515 2.7515 2.7515
```

=====

No. 6
Compound: Cr2CuP
Source: Alexandria
Functional: meta-GGA SCAN
Structure: single point on PBEsol structure

## Properties
The calculation puts the total energy at -1.1256 Ry per atom. For the calculated formation energy, the calculation gives 278 meV/atom.

Cell and atoms, written as extended XYZ:
```
4
Lattice="1.3110 0.7569 7.8690 -1.3110 0.7569 7.8690 0.0000 -1.5138 7.8690" Properties=species:S:1:pos:R:3 pbc="T T T"
Cr 0.0000 0.0000 0.0000
Cr 0.0000 0.0000 5.9147
Cu 0.0000 0.0000 11.6610
P 0.0000 0.0000 17.4682
```